A relaxed TcN2Cl6 crystal, computed with PBE.

```
9
Lattice="-3.8723 -5.1431 2.8760 -6.7665 1.1604 1.6080 -5.0983 -3.0971 -3.7594" Properties=species:S:1:pos:R:3 pbc="T T T"
Cl -9.3590 -3.7782 2.5799
N -11.8028 -5.3099 0.5435
Cl -7.2756 -1.0110 1.0325
Cl -6.3780 -3.3017 -1.8553
N -3.9343 -1.7700 0.1812
Cl -5.7184 -4.4025 1.7148
Cl -8.4615 -6.0688 -0.3079
Cl -10.0187 -2.6774 -0.9902
Tc 0.0000 0.0000 0.0000
```

Computed properties:
* symmetry: Fm-3m, No. 225
* E_form (uncorrected): 0.81 eV/atom